# 1
A plane-wave DFT calculation with PBE was carried out for a relaxed structure of Ba3AlP.

Cell and atoms, written as CIF:
```
data_Ba3AlP
_space_group_name_H-M_alt 'P m -3 m'
_space_group_IT_number 221
_space_group_name_Hall '-P 4 2 3'
_cell_length_a 6.199
_cell_length_b 6.199
_cell_length_c 6.199
_cell_angle_alpha 90.00
_cell_angle_beta 90.00
_cell_angle_gamma 90.00
loop_
_atom_site_label
_atom_site_type_symbol
_atom_site_fract_x
_atom_site_fract_y
_atom_site_fract_z
_atom_site_occupancy
Ba1 Ba 0.000 0.000 0.500 1
Al1 Al 0.500 0.500 0.500 1
P1 P 0.000 0.000 0.000 1
```

Summary:
The energy of formation is -0.306 eV/atom. Its energy above the lowest structure with this stoichiometry is 0.000 eV per atom.

=====

# 2
A plane-wave DFT calculation with PBE was carried out for a relaxed structure of BaAl2P.

Cell and atoms, written as CIF:
```
data_BaAl2P
_space_group_name_H-M_alt 'I m m m'
_space_group_IT_number 71
_space_group_name_Hall '-I 2 2'
_cell_length_a 3.522
_cell_length_b 5.782
_cell_length_c 9.901
_cell_angle_alpha 90.00
_cell_angle_beta 90.00
_cell_angle_gamma 90.00
loop_
_atom_site_label
_atom_site_type_symbol
_atom_site_fract_x
_atom_site_fract_y
_atom_site_fract_z
_atom_site_occupancy
Ba1 Ba 0.000 0.000 0.000 1
Al1 Al 0.000 0.500 0.186 1
P1 P 0.000 0.000 0.500 1
```

Summary:
The energy of formation is -0.175 eV/atom.

=====

# 3
A plane-wave DFT calculation with PBE was carried out for a relaxed structure of BaAl2P.

Cell and atoms, written as CIF:
```
data_BaAl2P
_space_group_name_H-M_alt 'I 4/m m m'
_space_group_IT_number 139
_space_group_name_Hall '-I 4 2'
_cell_length_a 4.345
_cell_length_b 4.345
_cell_length_c 10.914
_cell_angle_alpha 90.00
_cell_angle_beta 90.00
_cell_angle_gamma 90.00
loop_
_atom_site_label
_atom_site_type_symbol
_atom_site_fract_x
_atom_site_fract_y
_atom_site_fract_z
_atom_site_occupancy
Ba1 Ba 0.000 0.000 0.000 1
Al1 Al 0.000 0.500 0.250 1
P1 P 0.000 0.000 0.500 1
```

Summary:
The energy of formation is 0.115 eV/atom.

=====

# 4
A plane-wave DFT calculation with PBE was carried out for a relaxed structure of BaAl2P.

Cell and atoms, written as CIF:
```
data_BaAl2P
_space_group_name_H-M_alt 'P m m 2'
_space_group_IT_number 25
_cell_length_a 3.878
_cell_length_b 4.129
_cell_length_c 6.255
_cell_angle_alpha 90.00
_cell_angle_beta 90.00
_cell_angle_gamma 90.00
loop_
_space_group_symop_operation_xyz
'x,y,z'
'-x,-y,z'
'-x,y,z'
'x,-y,z'
loop_
_atom_site_label
_atom_site_type_symbol
_atom_site_fract_x
_atom_site_fract_y
_atom_site_fract_z
_atom_site_occupancy
Ba1 Ba 0.000 0.000 0.000 1
Al1 Al 0.000 0.500 0.462 1
Al2 Al 0.500 0.000 0.477 1
P1 P 0.500 0.500 0.733 1
```

Summary:
The energy of formation is -0.412 eV/atom.

=====

# 5
A plane-wave DFT calculation with PBE was carried out for a relaxed structure of BaAl2P.

Cell and atoms, written as CIF:
```
data_BaAl2P
_space_group_name_H-M_alt 'F -4 3 m'
_space_group_IT_number 216
_space_group_name_Hall 'F -4 2 3'
_cell_length_a 7.321
_cell_length_b 7.321
_cell_length_c 7.321
_cell_angle_alpha 90.00
_cell_angle_beta 90.00
_cell_angle_gamma 90.00
loop_
_atom_site_label
_atom_site_type_symbol
_atom_site_fract_x
_atom_site_fract_y
_atom_site_fract_z
_atom_site_occupancy
Ba1 Ba 0.000 0.000 0.000 1
Al1 Al 0.000 0.000 0.500 1
Al2 Al 0.250 0.250 0.250 1
P1 P 0.250 0.250 0.750 1
```

Summary:
The energy of formation is 0.129 eV/atom.

=====

# 6
A plane-wave DFT calculation with PBE was carried out for a relaxed structure of Ba3AlP3.

Cell and atoms, written as CIF:
```
data_Ba3AlP3
_space_group_name_H-M_alt 'P 1 21/c 1'
_space_group_IT_number 14
_cell_length_a 8.954
_cell_length_b 7.840
_cell_length_c 12.642
_cell_angle_alpha 90.00
_cell_angle_beta 98.68
_cell_angle_gamma 90.00
loop_
_space_group_symop_operation_xyz
'x,y,z'
'-x,-y,-z'
'-x,y+1/2,-z+1/2'
'x,-y+1/2,z+1/2'
loop_
_atom_site_label
_atom_site_type_symbol
_atom_site_fract_x
_atom_site_fract_y
_atom_site_fract_z
_atom_site_occupancy
Ba1 Ba 0.088 0.175 0.127 1
Ba2 Ba 0.304 0.728 0.782 1
Ba3 Ba 0.396 0.234 0.924 1
Al1 Al 0.172 0.581 0.041 1
P1 P 0.066 0.068 0.378 1
P2 P 0.250 0.628 0.512 1
P3 P 0.377 0.065 0.652 1
```

Summary:
The energy of formation is -1.008 eV/atom.

=====

# 7
A plane-wave DFT calculation with PBE was carried out for a relaxed structure of BaAl2P.

Cell and atoms, written as CIF:
```
data_BaAl2P
_space_group_name_H-M_alt 'P 4 m m'
_space_group_IT_number 99
_cell_length_a 3.612
_cell_length_b 3.612
_cell_length_c 7.064
_cell_angle_alpha 90.00
_cell_angle_beta 90.00
_cell_angle_gamma 90.00
loop_
_space_group_symop_operation_xyz
'x,y,z'
'-y,x,z'
'-x,-y,z'
'y,-x,z'
'-x,y,z'
'y,x,z'
'x,-y,z'
'-y,-x,z'
loop_
_atom_site_label
_atom_site_type_symbol
_atom_site_fract_x
_atom_site_fract_y
_atom_site_fract_z
_atom_site_occupancy
Ba1 Ba 0.000 0.000 0.000 1
Al1 Al 0.000 0.000 0.471 1
Al2 Al 0.500 0.500 0.664 1
P1 P 0.500 0.500 0.326 1
```

Summary:
The energy of formation is -0.279 eV/atom.

=====

# 8
A plane-wave DFT calculation with PBE was carried out for a relaxed structure of Ba4AlP4.

Cell and atoms, written as CIF:
```
data_Ba4AlP4
_space_group_name_H-M_alt 'P 42/n m c'
_space_group_IT_number 137
_cell_length_a 9.261
_cell_length_b 9.261
_cell_length_c 6.742
_cell_angle_alpha 90.00
_cell_angle_beta 90.00
_cell_angle_gamma 90.00
loop_
_space_group_symop_operation_xyz
'x,y,z'
'-x,-y,-z'
'-y+1/2,x,z+1/2'
'y+1/2,-x,-z+1/2'
'-x+1/2,-y+1/2,z'
'x+1/2,y+1/2,-z'
'y,-x+1/2,z+1/2'
'-y,x+1/2,-z+1/2'
'x+1/2,-y,-z'
'-x+1/2,y,z'
'-y,-x,-z+1/2'
'y,x,z+1/2'
'-x,y+1/2,-z'
'x,-y+1/2,z'
'y+1/2,x+1/2,-z+1/2'
'-y+1/2,-x+1/2,z+1/2'
loop_
_atom_site_label
_atom_site_type_symbol
_atom_site_fract_x
_atom_site_fract_y
_atom_site_fract_z
_atom_site_occupancy
Ba1 Ba 0.019 0.250 0.065 1
Al1 Al 0.250 0.750 0.250 1
P1 P 0.029 0.750 0.445 1
```

Summary:
The energy of formation is -0.927 eV/atom.

=====

# 9
A plane-wave DFT calculation with PBE was carried out for a relaxed structure of BaAl2P.

Cell and atoms, written as CIF:
```
data_BaAl2P
_space_group_name_H-M_alt 'I -4 m 2'
_space_group_IT_number 119
_space_group_name_Hall 'I -4 -2'
_cell_length_a 4.674
_cell_length_b 4.674
_cell_length_c 9.110
_cell_angle_alpha 90.00
_cell_angle_beta 90.00
_cell_angle_gamma 90.00
loop_
_atom_site_label
_atom_site_type_symbol
_atom_site_fract_x
_atom_site_fract_y
_atom_site_fract_z
_atom_site_occupancy
Ba1 Ba 0.000 0.000 0.000 1
Al1 Al 0.000 0.000 0.500 1
Al2 Al 0.000 0.500 0.250 1
P1 P 0.000 0.500 0.750 1
```

Summary:
The energy of formation is 0.114 eV/atom.

=====

# 10
A plane-wave DFT calculation with PBE was carried out for a relaxed structure of BaAlP3.

Cell and atoms, written as CIF:
```
data_BaAlP3
_space_group_name_H-M_alt 'P m -3 m'
_space_group_IT_number 221
_space_group_name_Hall '-P 4 2 3'
_cell_length_a 4.845
_cell_length_b 4.845
_cell_length_c 4.845
_cell_angle_alpha 90.00
_cell_angle_beta 90.00
_cell_angle_gamma 90.00
loop_
_atom_site_label
_atom_site_type_symbol
_atom_site_fract_x
_atom_site_fract_y
_atom_site_fract_z
_atom_site_occupancy
Ba1 Ba 0.000 0.000 0.000 1
Al1 Al 0.500 0.500 0.500 1
P1 P 0.000 0.500 0.500 1
```

Summary:
The energy of formation is -0.157 eV/atom. Its energy above the lowest structure with this stoichiometry is 0.000 eV per atom.

=====

# 11
A plane-wave DFT calculation with PBE was carried out for a relaxed structure of BaAl2P.

Cell and atoms, written as CIF:
```
data_BaAl2P
_space_group_name_H-M_alt 'P 1 2/m 1'
_space_group_IT_number 10
_cell_length_a 4.849
_cell_length_b 3.865
_cell_length_c 6.148
_cell_angle_alpha 90.00
_cell_angle_beta 109.79
_cell_angle_gamma 90.00
loop_
_space_group_symop_operation_xyz
'x,y,z'
'-x,-y,-z'
'-x,y,-z'
'x,-y,z'
loop_
_atom_site_label
_atom_site_type_symbol
_atom_site_fract_x
_atom_site_fract_y
_atom_site_fract_z
_atom_site_occupancy
Ba1 Ba 0.000 0.000 0.000 1
Al1 Al 0.284 0.500 0.636 1
P1 P 0.500 0.000 0.500 1
```

Summary:
The energy of formation is -0.277 eV/atom.

=====

# 12
A plane-wave DFT calculation with PBE was carried out for a relaxed structure of Ba2AlP.

Cell and atoms, written as CIF:
```
data_Ba2AlP
_space_group_name_H-M_alt 'I -4 2 d'
_space_group_IT_number 122
_space_group_name_Hall 'I -4 2bw'
_cell_length_a 9.032
_cell_length_b 9.032
_cell_length_c 7.454
_cell_angle_alpha 90.00
_cell_angle_beta 90.00
_cell_angle_gamma 90.00
loop_
_atom_site_label
_atom_site_type_symbol
_atom_site_fract_x
_atom_site_fract_y
_atom_site_fract_z
_atom_site_occupancy
Ba1 Ba 0.203 0.250 0.125 1
Al1 Al 0.000 0.000 0.500 1
P1 P 0.000 0.000 0.000 1
```

Summary:
The energy of formation is -0.153 eV/atom. Its energy above the lowest structure with this stoichiometry is 0.431 eV per atom.

=====

# 13
A plane-wave DFT calculation with PBE was carried out for a relaxed structure of BaAlP.

Cell and atoms, written as CIF:
```
data_BaAlP
_space_group_name_H-M_alt 'P 3 m 1'
_space_group_IT_number 156
_cell_length_a 4.1427
_cell_length_b 4.1427
_cell_length_c 5.4699
_cell_angle_alpha 90.00
_cell_angle_beta 90.00
_cell_angle_gamma 120.00
loop_
_space_group_symop_operation_xyz
'x,y,z'
'-y,x-y,z'
'-x+y,-x,z'
'-y,-x,z'
'-x+y,y,z'
'x,x-y,z'
loop_
_atom_site_label
_atom_site_type_symbol
_atom_site_fract_x
_atom_site_fract_y
_atom_site_fract_z
_atom_site_occupancy
Ba1 Ba 0.0000 0.0000 0.0000 1
Al1 Al 0.3333 0.6667 0.5651 1
P1 P 0.6667 0.3333 0.4239 1
```

Summary:
The energy of formation is -0.595 eV/atom.

=====

# 14
A plane-wave DFT calculation with PBE was carried out for a relaxed structure of BaAl2P.

Cell and atoms, written as CIF:
```
data_BaAl2P
_space_group_name_H-M_alt 'P 4/m m m'
_space_group_IT_number 123
_space_group_name_Hall '-P 4 2'
_cell_length_a 4.459
_cell_length_b 4.459
_cell_length_c 4.985
_cell_angle_alpha 90.00
_cell_angle_beta 90.00
_cell_angle_gamma 90.00
loop_
_atom_site_label
_atom_site_type_symbol
_atom_site_fract_x
_atom_site_fract_y
_atom_site_fract_z
_atom_site_occupancy
Ba1 Ba 0.000 0.000 0.000 1
Al1 Al 0.000 0.500 0.500 1
P1 P 0.500 0.500 0.000 1
```

Summary:
The energy of formation is 0.029 eV/atom.

=====

# 15
A plane-wave DFT calculation with PBE was carried out for a relaxed structure of BaAl2P.

Cell and atoms, written as CIF:
```
data_BaAl2P
_space_group_name_H-M_alt 'R -3 m'
_space_group_IT_number 166
_space_group_name_Hall '-R 3 2"'
_cell_length_a 3.8280
_cell_length_b 3.8280
_cell_length_c 24.8457
_cell_angle_alpha 90.00
_cell_angle_beta 90.00
_cell_angle_gamma 120.00
loop_
_atom_site_label
_atom_site_type_symbol
_atom_site_fract_x
_atom_site_fract_y
_atom_site_fract_z
_atom_site_occupancy
Ba1 Ba 0.0000 0.0000 0.0000 1
Al1 Al 0.0000 0.0000 0.2204 1
P1 P 0.0000 0.0000 0.5000 1
```

Summary:
The energy of formation is -0.052 eV/atom.

=====

# 16
A plane-wave DFT calculation with PBE was carried out for a relaxed structure of BaAlP4.

Cell and atoms, written as CIF:
```
data_BaAlP4
_space_group_name_H-M_alt 'F -4 3 m'
_space_group_IT_number 216
_space_group_name_Hall 'F -4 2 3'
_cell_length_a 8.048
_cell_length_b 8.048
_cell_length_c 8.048
_cell_angle_alpha 90.00
_cell_angle_beta 90.00
_cell_angle_gamma 90.00
loop_
_atom_site_label
_atom_site_type_symbol
_atom_site_fract_x
_atom_site_fract_y
_atom_site_fract_z
_atom_site_occupancy
Ba1 Ba 0.000 0.000 0.000 1
Al1 Al 0.250 0.250 0.250 1
P1 P 0.103 0.103 0.603 1
```

Summary:
The energy of formation is 0.026 eV/atom.

=====

# 17
A plane-wave DFT calculation with PBE was carried out for a relaxed structure of BaAl2P.

Cell and atoms, written as CIF:
```
data_BaAl2P
_space_group_name_H-M_alt 'I m m 2'
_space_group_IT_number 44
_cell_length_a 3.760
_cell_length_b 4.326
_cell_length_c 12.703
_cell_angle_alpha 90.00
_cell_angle_beta 90.00
_cell_angle_gamma 90.00
loop_
_space_group_symop_operation_xyz
'x,y,z'
'-x,-y,z'
'-x,y,z'
'x,-y,z'
'x+1/2,y+1/2,z+1/2'
'-x+1/2,-y+1/2,z+1/2'
'-x+1/2,y+1/2,z+1/2'
'x+1/2,-y+1/2,z+1/2'
loop_
_atom_site_label
_atom_site_type_symbol
_atom_site_fract_x
_atom_site_fract_y
_atom_site_fract_z
_atom_site_occupancy
Ba1 Ba 0.000 0.000 0.000 1
Al1 Al 0.000 0.000 0.345 1
Al2 Al 0.000 0.500 0.216 1
P1 P 0.000 0.500 0.716 1
```

Summary:
The energy of formation is -0.204 eV/atom.

=====

# 18
A plane-wave DFT calculation with PBE was carried out for a relaxed structure of BaAl4P.

Cell and atoms, written as CIF:
```
data_BaAl4P
_space_group_name_H-M_alt 'F -4 3 m'
_space_group_IT_number 216
_space_group_name_Hall 'F -4 2 3'
_cell_length_a 8.114
_cell_length_b 8.114
_cell_length_c 8.114
_cell_angle_alpha 90.00
_cell_angle_beta 90.00
_cell_angle_gamma 90.00
loop_
_atom_site_label
_atom_site_type_symbol
_atom_site_fract_x
_atom_site_fract_y
_atom_site_fract_z
_atom_site_occupancy
Ba1 Ba 0.000 0.000 0.000 1
Al1 Al 0.124 0.124 0.376 1
P1 P 0.250 0.250 0.750 1
```

Summary:
The energy of formation is 0.213 eV/atom.

=====

# 19
A plane-wave DFT calculation with PBE was carried out for a relaxed structure of Ba3Al2P4.

Cell and atoms, written as CIF:
```
data_Ba3Al2P4
_space_group_name_H-M_alt 'P n m a'
_space_group_IT_number 62
_cell_length_a 7.355
_cell_length_b 11.673
_cell_length_c 11.668
_cell_angle_alpha 90.00
_cell_angle_beta 90.00
_cell_angle_gamma 90.00
loop_
_space_group_symop_operation_xyz
'x,y,z'
'-x,-y,-z'
'-x+1/2,-y,z+1/2'
'x+1/2,y,-z+1/2'
'x+1/2,-y+1/2,-z+1/2'
'-x+1/2,y+1/2,z+1/2'
'-x,y+1/2,-z'
'x,-y+1/2,z'
loop_
_atom_site_label
_atom_site_type_symbol
_atom_site_fract_x
_atom_site_fract_y
_atom_site_fract_z
_atom_site_occupancy
Ba1 Ba 0.079 0.079 0.140 1
Ba2 Ba 0.098 0.250 0.768 1
Al1 Al 0.058 0.125 0.465 1
P1 P 0.090 0.750 0.668 1
P2 P 0.154 0.556 0.388 1
P3 P 0.195 0.750 0.028 1
```

Summary:
The energy of formation is -0.965 eV/atom. Its energy above the lowest structure with this stoichiometry is 0.000 eV per atom.

=====

# 20
A plane-wave DFT calculation with PBE was carried out for a relaxed structure of Ba2AlP.

Cell and atoms, written as CIF:
```
data_Ba2AlP
_space_group_name_H-M_alt 'I 4/m m m'
_space_group_IT_number 139
_space_group_name_Hall '-I 4 2'
_cell_length_a 5.238
_cell_length_b 5.238
_cell_length_c 9.364
_cell_angle_alpha 90.00
_cell_angle_beta 90.00
_cell_angle_gamma 90.00
loop_
_atom_site_label
_atom_site_type_symbol
_atom_site_fract_x
_atom_site_fract_y
_atom_site_fract_z
_atom_site_occupancy
Ba1 Ba 0.000 0.500 0.250 1
Al1 Al 0.000 0.000 0.000 1
P1 P 0.000 0.000 0.500 1
```

Summary:
The energy of formation is -0.270 eV/atom. Its energy above the lowest structure with this stoichiometry is 0.314 eV per atom.